[1]
# TlFeHg2

TlFeHg2 after structural relaxation (PBE, Alexandria via LeMat-Bulk).

Total moment: 2.80 μB per formula unit
Calculated volume: 89.2 Å³/cell
D(E_F): 2.57 states/eV per cell
Energy of formation from the pure elements: 0.4032 eV/atom

Cell lengths 3.173, 3.173, 8.864 Å; angles 90.00, 90.00, 90.00 degrees
Space group P4mm (No. 99)
Unique sites:
Tl (0.000, 0.000, 0.000) x1
Fe (0.500, 0.500, 0.219) x1
Hg (0.000, 0.000, 0.409) x1
Hg (0.500, 0.500, 0.694) x1



[2]
# Tl2FeHg

Tl2FeHg after structural relaxation (PBE, Alexandria via LeMat-Bulk).

Total moment: 2.55 μB per formula unit
Calculated volume: 198.4 Å³/cell
D(E_F): 7.25 states/eV per cell
Energy of formation from the pure elements: 0.3697 eV/atom

Cell lengths 3.070, 4.617, 13.994 Å; angles 90.00, 90.00, 90.00 degrees
Space group Immm (No. 71)
Unique sites:
Tl (0.000, 0.000, 0.178) x4
Fe (0.000, 0.500, 0.500) x2
Hg (0.000, 0.500, 0.000) x2



[3]
# TlFeHg2

TlFeHg2 after structural relaxation (PBE, Alexandria via LeMat-Bulk).

Total moment: 2.98 μB per formula unit
Calculated volume: 365.4 Å³/cell
D(E_F): 19.45 states/eV per cell
Energy of formation from the pure elements: 0.5639 eV/atom

Cell lengths 7.149, 7.149, 7.149 Å; angles 90.00, 90.00, 90.00 degrees
Space group Fm-3m (No. 225)
Unique sites:
Tl (0.000, 0.000, 0.000) x4
Fe (0.000, 0.000, 0.500) x4
Hg (0.250, 0.250, 0.250) x8



[4]
# Tl2FeHg

Tl2FeHg after structural relaxation (PBE, Alexandria via LeMat-Bulk).

Total moment: 2.93 μB per formula unit
Calculated volume: 385.8 Å³/cell
D(E_F): 19.01 states/eV per cell
Energy of formation from the pure elements: 0.5799 eV/atom

Cell lengths 7.280, 7.280, 7.280 Å; angles 90.00, 90.00, 90.00 degrees
Space group Fm-3m (No. 225)
Unique sites:
Tl (0.250, 0.250, 0.250) x8
Fe (0.000, 0.000, 0.000) x4
Hg (0.000, 0.000, 0.500) x4



[5]
# TlFeHg2

TlFeHg2 after structural relaxation (PBE, Alexandria via LeMat-Bulk).

Total moment: 2.77 μB per formula unit
Calculated volume: 88.9 Å³/cell
D(E_F): 2.66 states/eV per cell
Energy of formation from the pure elements: 0.3371 eV/atom

Cell lengths 3.168, 3.168, 8.859 Å; angles 90.00, 90.00, 90.00 degrees
Space group P4/mmm (No. 123)
Unique sites:
Tl (0.000, 0.000, 0.000) x1
Fe (0.000, 0.000, 0.500) x1
Hg (0.500, 0.500, 0.304) x2



[6]
# TlFeHg2

TlFeHg2 after structural relaxation (PBE, Alexandria via LeMat-Bulk).

Total moment: 2.96 μB per formula unit
Calculated volume: 176.8 Å³/cell
D(E_F): 8.98 states/eV per cell
Energy of formation from the pure elements: 0.5288 eV/atom

Cell lengths 4.298, 4.298, 9.570 Å; angles 90.00, 90.00, 90.00 degrees
Space group I-4m2 (No. 119)
Unique sites:
Tl (0.000, 0.000, 0.000) x2
Fe (0.000, 0.500, 0.750) x2
Hg (0.000, 0.000, 0.500) x2
Hg (0.000, 0.500, 0.250) x2



[7]
# Tl3FeHg

Tl3FeHg after structural relaxation (PBE, Alexandria via LeMat-Bulk).

Total moment: 0.92 μB per formula unit
Calculated volume: 139.3 Å³/cell
D(E_F): 3.04 states/eV per cell
Energy of formation from the pure elements: 0.2656 eV/atom

Cell lengths 5.184, 5.184, 5.184 Å; angles 90.00, 90.00, 90.00 degrees
Space group Pm-3m (No. 221)
Unique sites:
Tl (0.000, 0.000, 0.500) x3
Fe (0.000, 0.000, 0.000) x1
Hg (0.500, 0.500, 0.500) x1



[8]
# Tl2FeHg

Tl2FeHg after structural relaxation (PBE, Alexandria via LeMat-Bulk).

Total moment: 0.11 μB per formula unit
Calculated volume: 390.4 Å³/cell
D(E_F): 26.02 states/eV per cell
Energy of formation from the pure elements: 0.8513 eV/atom

Cell lengths 4.550, 4.550, 18.858 Å; angles 90.00, 90.00, 90.00 degrees
Space group I-42d (No. 122)
Unique sites:
Tl (0.213, 0.250, 0.125) x8
Fe (0.000, 0.000, 0.000) x4
Hg (0.000, 0.000, 0.500) x4



[9]
# Tl2FeHg

Tl2FeHg after structural relaxation (PBE, Alexandria via LeMat-Bulk).

Total moment: 2.38 μB per formula unit
Calculated volume: 99.1 Å³/cell
D(E_F): 2.42 states/eV per cell
Energy of formation from the pure elements: 0.3729 eV/atom

Cell lengths 4.610, 3.073, 7.365 Å; angles 90.00, 108.18, 90.00 degrees
Space group Pm (No. 6)
Unique sites:
Tl (0.000, 0.000, 0.000) x1
Tl (0.317, 0.500, 0.632) x1
Fe (0.801, 0.000, 0.600) x1
Hg (0.634, 0.500, 0.268) x1



[10]
# Tl2FeHg

Tl2FeHg after structural relaxation (PBE, Alexandria via LeMat-Bulk).

Total moment: 2.98 μB per formula unit
Calculated volume: 285.0 Å³/cell
D(E_F): 9.85 states/eV per cell
Energy of formation from the pure elements: 0.4136 eV/atom

Cell lengths 3.3501, 3.3501, 29.3244 Å; angles 90.00, 90.00, 120.00 degrees
Space group R3m (No. 160, hexagonal axes)
Unique sites:
Tl (0.0000, 0.0000, 0.0000) x3
Tl (0.0000, 0.0000, 0.2336) x3
Fe (0.0000, 0.0000, 0.7398) x3
Hg (0.0000, 0.0000, 0.4743) x3



[11]
# Tl2FeHg

Tl2FeHg after structural relaxation (PBE, Alexandria via LeMat-Bulk).

Total moment: 2.83 μB per formula unit
Calculated volume: 94.3 Å³/cell
D(E_F): 3.06 states/eV per cell
Energy of formation from the pure elements: 0.3782 eV/atom

Cell lengths 3.210, 3.210, 9.152 Å; angles 90.00, 90.00, 90.00 degrees
Space group P4mm (No. 99)
Unique sites:
Tl (0.000, 0.000, 0.000) x1
Tl (0.500, 0.500, 0.314) x1
Fe (0.000, 0.000, 0.526) x1
Hg (0.500, 0.500, 0.707) x1



[12]
# TlFeHg2

TlFeHg2 after structural relaxation (PBE, Alexandria via LeMat-Bulk).

Total moment: 2.97 μB per formula unit
Calculated volume: 177.2 Å³/cell
D(E_F): 6.17 states/eV per cell
Energy of formation from the pure elements: 0.5086 eV/atom

Cell lengths 4.186, 4.186, 10.111 Å; angles 90.00, 90.00, 90.00 degrees
Space group I4/mmm (No. 139)
Unique sites:
Tl (0.000, 0.000, 0.000) x2
Fe (0.000, 0.000, 0.500) x2
Hg (0.000, 0.500, 0.250) x4



Number 1: offset from the most stable computed form 66.1 meV/atom. Number 2: offset from the most stable computed form 0.0 meV/atom. Number 3: offset from the most stable computed form 226.8 meV/atom. Number 4: offset from the most stable computed form 210.1 meV/atom. Number 5: offset from the most stable computed form 0.0 meV/atom. Number 6: offset from the most stable computed form 191.7 meV/atom. Number 7: offset from the most stable computed form 0.0 meV/atom. Number 8: offset from the most stable computed form 481.6 meV/atom. Number 9: offset from the most stable computed form 3.1 meV/atom. Number 10: offset from the most stable computed form 43.9 meV/atom. Number 11: offset from the most stable computed form 8.5 meV/atom. Number 12: offset from the most stable computed form 171.5 meV/atom.